1.
Pm2Dy6Er3Tl after structural relaxation, computed with PBE.

Cell and atoms, written as extended XYZ:
```
12
Lattice="3.040 -5.271 0.000 3.040 5.271 0.000 -2.039 0.000 11.518" Properties=species:S:1:pos:R:3 pbc="T T T"
Pm 3.040 3.521 0.000
Pm 3.040 -3.521 0.000
Dy 0.007 1.730 8.626
Dy 1.039 0.000 2.906
Dy 0.007 -1.730 8.626
Dy 4.034 1.730 2.892
Dy 3.003 0.000 8.612
Dy 4.034 -1.730 2.892
Er -1.020 0.000 5.759
Er 2.021 1.758 5.759
Er 2.021 -1.758 5.759
Tl 3.040 0.000 0.000
```

Computed properties:
DFT total energy (eV per atom): -4.46
Formation enthalpy at 0 K (eV/atom): -0.026


2.
K2TcIr after structural relaxation, computed with PBE.

Cell and atoms, written as extended XYZ:
```
4
Lattice="4.537 0.000 0.000 0.000 4.537 0.000 0.000 0.000 5.141" Properties=species:S:1:pos:R:3 pbc="T T T"
K 0.000 0.000 1.271
K 0.000 0.000 3.870
Tc 2.269 2.269 2.570
Ir 2.269 2.269 0.000
```

Computed properties:
DFT total energy (eV per atom): -3.86
Energy relative to the lowest polymorph listed for this composition (meV per atom): 962
Formation enthalpy at 0 K (eV/atom): 1.491


3.
As2PIr after structural relaxation, computed with PBE.

Cell and atoms, written as extended XYZ:
```
4
Lattice="1.415 -2.477 0.000 1.415 2.477 0.000 0.000 0.000 9.792" Properties=species:S:1:pos:R:3 pbc="T T T"
As 0.000 0.000 0.000
As 1.415 0.000 2.806
P 0.000 0.000 5.529
Ir 1.415 0.000 7.474
```

Computed properties:
DFT total energy (eV per atom): -5.54
Formation enthalpy at 0 K (eV/atom): 0.353


4.
Ti3Be8Cr after structural relaxation, computed with PBE.

Cell and atoms, written as extended XYZ:
```
12
Lattice="2.233 1.289 7.282 -2.233 1.289 7.282 0.000 -2.578 7.282" Properties=species:S:1:pos:R:3 pbc="T T T"
Ti 0.000 0.000 0.000
Ti 0.000 0.000 2.761
Ti 0.000 0.000 13.592
Be 0.000 -1.286 4.952
Be -1.114 0.643 4.952
Be -1.100 -0.635 8.695
Be 0.000 0.000 6.839
Be 1.114 0.643 4.952
Be 1.100 -0.635 8.695
Be 0.000 1.270 8.695
Be 0.000 0.000 17.746
Cr 0.000 0.000 10.940
```

Computed properties:
DFT total energy (eV per atom): -5.45
Formation enthalpy at 0 K (eV/atom): -0.190


5.
Sr3HfTa after structural relaxation, computed with PBE.

Cell and atoms, written as extended XYZ:
```
5
Lattice="5.843 0.000 0.000 0.000 5.843 0.000 0.000 0.000 5.843" Properties=species:S:1:pos:R:3 pbc="T T T"
Sr 0.000 0.000 2.922
Sr 0.000 2.922 0.000
Sr 2.922 0.000 0.000
Hf 2.922 2.922 2.922
Ta 0.000 0.000 0.000
```

Computed properties:
DFT total energy (eV per atom): -3.75
Energy relative to the lowest polymorph listed for this composition (meV per atom): 0
Formation enthalpy at 0 K (eV/atom): 1.624


6.
PmTmRh after structural relaxation, computed with PBE.

Cell and atoms, written as extended XYZ:
```
3
Lattice="4.042 0.000 0.000 -2.021 3.500 0.000 0.000 0.000 6.191" Properties=species:S:1:pos:R:3 pbc="T T T"
Pm 0.000 0.000 0.000
Tm 2.021 1.167 3.223
Rh 0.000 2.334 4.618
```

Computed properties:
DFT total energy (eV per atom): -6.01
Energy relative to the lowest polymorph listed for this composition (meV per atom): 67
Formation enthalpy at 0 K (eV/atom): -0.488


What did the third record say?
As2PIr after structural relaxation, computed with PBE.

Cell and atoms, written as extended XYZ:
```
4
Lattice="1.415 -2.477 0.000 1.415 2.477 0.000 0.000 0.000 9.792" Properties=species:S:1:pos:R:3 pbc="T T T"
As 0.000 0.000 0.000
As 1.415 0.000 2.806
P 0.000 0.000 5.529
Ir 1.415 0.000 7.474
```

Computed properties:
DFT total energy (eV per atom): -5.54
Formation enthalpy at 0 K (eV/atom): 0.353